Entry 1:
Na2O at its PBEsol-relaxed geometry, computed with meta-GGA SCAN.

The uncorrected formation energy comes out at -1.38 eV/atom. Its symmetry is No. 225.

Cell lengths 3.9079, 3.9079, 3.9079 Å; angles 60.00, 60.00, 60.00 degrees
Last column: nearest neighbours and their distance in Å.
Fractional positions:
O1 0.0000 0.0000 0.0000  8 Na 2.39
Na1 0.7500 0.7500 0.7500  4 O 2.39
Na2 0.2500 0.2500 0.2500  4 O 2.39

Entry 2:
Mg5In at its PBEsol-relaxed geometry, computed with meta-GGA SCAN.

Its symmetry is No. 123. The calculation puts the formation energy at -0.27 eV per formula unit.

Cell lengths 3.1900, 3.1900, 13.3494 Å; angles 90.00, 90.00, 90.00 degrees
Last column: nearest neighbours and their distance in Å.
Fractional positions:
Mg1 0.0000 0.0000 0.6644  4 In 3.15, 8 Mg 3.18-3.19
Mg2 0.0000 0.0000 0.3356  4 In 3.15, 8 Mg 3.18-3.19
Mg3 0.5000 0.5000 0.1674  12 Mg 3.18-3.19
Mg4 0.5000 0.5000 0.8326  12 Mg 3.18-3.19
Mg5 0.0000 0.0000 0.0000  12 Mg 3.18-3.19
In1 0.5000 0.5000 0.5000  8 Mg 3.15, 4 In 3.19

Entry 3:
KSrSb2Te at its PBEsol-relaxed geometry, computed with meta-GGA SCAN.

The uncorrected formation energy comes out at 0.32 eV/atom. Its symmetry is No. 123. The value obtained for the distance to the lowest polymorph of the same formula is 0.2878 eV per atom.

Cell lengths 5.6817, 5.6817, 5.8285 Å; angles 90.00, 90.00, 90.00 degrees
Last column: nearest neighbours and their distance in Å.
Fractional positions:
Sb1 0.5000 0.0000 0.0000  2 K 2.84
Sr1 0.5000 0.5000 0.5000  4 Te 4.02, 8 Sb 4.07
Te1 0.0000 0.0000 0.5000  2 K 2.91
Sb2 0.0000 0.5000 0.0000  2 K 2.84
K1 0.0000 0.0000 0.0000  4 Sb 2.84, 2 Te 2.91

Entry 4:
Hg3Br2 at its PBEsol-relaxed geometry, computed with meta-GGA SCAN.

The uncorrected formation energy comes out at -0.26 eV/atom. Its symmetry is No. 43.

Cell lengths 6.8564, 7.4285, 7.4285 Å; angles 58.51, 75.00, 105.00 degrees
Last column: nearest neighbours and their distance in Å.
Fractional positions:
Br1 0.7350 0.3716 0.7892  2 Hg 2.72-3.02
Hg1 0.5000 0.2095 0.2905  2 Hg 2.68
Br2 0.7650 0.8867 0.7741  2 Hg 2.72-3.02
Hg2 0.0000 0.9595 0.0405  2 Hg 2.68
Hg3 0.6156 0.7500 0.4413  1 Hg 2.68, 1 Br 2.72
Br3 0.2350 0.4608 0.8784  2 Hg 2.72-3.02
Hg4 0.1156 0.8087 0.5000  1 Hg 2.68, 1 Br 2.72
Br4 0.2650 0.4759 0.3633  2 Hg 2.72-3.02
Hg5 0.8844 0.3844 0.3070  1 Hg 2.68, 1 Br 2.72
Hg6 0.3844 0.9430 0.8656  1 Hg 2.68, 1 Br 2.72

Entry 5:
Ca2HN at its PBEsol-relaxed geometry, computed with meta-GGA SCAN.

Its symmetry is No. 227.

Cell lengths 7.0637, 7.0637, 7.0637 Å; angles 60.00, 60.00, 60.00 degrees
Last column: nearest neighbours and their distance in Å.
Fractional positions:
H1 0.6250 0.6250 0.1250  6 Ca 2.62
Ca1 0.8866 0.8866 0.8866  3 N 2.39, 3 H 2.62
Ca2 0.8866 0.8866 0.3401  3 N 2.39, 3 H 2.62
H2 0.6250 0.6250 0.6250  6 Ca 2.62
H3 0.1250 0.6250 0.6250  6 Ca 2.62
Ca3 0.3401 0.8866 0.8866  3 N 2.39, 3 H 2.62
Ca4 0.9099 0.3634 0.3634  3 N 2.39, 3 H 2.62
N1 0.6250 0.1250 0.1250  6 Ca 2.39
Ca5 0.3634 0.9099 0.3634  3 N 2.39, 3 H 2.62
N2 0.1250 0.1250 0.1250  6 Ca 2.39
Ca6 0.8866 0.3401 0.8866  3 N 2.39, 3 H 2.62
N3 0.1250 0.6250 0.1250  6 Ca 2.39
H4 0.6250 0.1250 0.6250  6 Ca 2.62
Ca7 0.3634 0.3634 0.3634  3 N 2.39, 3 H 2.62
Ca8 0.3634 0.3634 0.9099  3 N 2.39, 3 H 2.62
N4 0.1250 0.1250 0.6250  6 Ca 2.39

Entry 6:
Mg2ZrN at its PBEsol-relaxed geometry, computed with meta-GGA SCAN.

The uncorrected formation energy comes out at -0.19 eV/atom. Its symmetry is No. 122.

Cell lengths 4.4398, 5.9491, 5.9491 Å; angles 82.00, 68.09, 68.09 degrees
Last column: nearest neighbours and their distance in Å.
Fractional positions:
N1 0.5000 0.0000 0.0000  2 Zr 2.22, 4 Mg 2.31
N2 0.2500 0.5000 0.5000  2 Zr 2.22, 4 Mg 2.31
Zr1 0.0000 0.0000 0.0000  2 N 2.22
Mg1 0.3750 0.1083 0.3917  2 N 2.31
Mg2 0.5167 0.6083 0.1083  2 N 2.31
Zr2 0.7500 0.5000 0.5000  2 N 2.22
Mg3 0.2333 0.3917 0.8917  2 N 2.31
Mg4 0.8750 0.8917 0.6083  2 N 2.31

Entry 7:
ZnAs2Pb at its PBEsol-relaxed geometry, computed with meta-GGA SCAN.

Its symmetry is No. 123. The calculation puts the formation energy at 1.62 eV per formula unit.

Cell lengths 4.0662, 4.5525, 4.5525 Å; angles 90.00, 90.00, 90.00 degrees
Last column: nearest neighbours and their distance in Å.
Fractional positions:
As1 0.0000 0.5000 0.0000  4 Pb 3.05, 4 Zn 3.05, 4 As 3.22
Pb1 0.5000 0.5000 0.5000  8 As 3.05, 4 Zn 3.22
Zn1 0.5000 0.0000 0.0000  8 As 3.05, 4 Pb 3.22
As2 0.0000 0.0000 0.5000  4 Zn 3.05, 4 Pb 3.05, 4 As 3.22

Entry 8:
ZnAs2 at its PBEsol-relaxed geometry, computed with meta-GGA SCAN.

Its symmetry is No. 71. The calculation puts the formation energy at 0.80 eV per formula unit.

Cell lengths 3.0778, 3.6263, 5.6385 Å; angles 108.76, 105.84, 90.00 degrees
Last column: nearest neighbours and their distance in Å.
Fractional positions:
As1 0.3747 0.3747 0.7494  1 As 2.56, 4 Zn 2.70
As2 0.6253 0.6253 0.2506  1 As 2.56, 4 Zn 2.70
Zn1 0.0000 0.0000 0.0000  8 As 2.70

Entry 9:
La2MgAl at its PBEsol-relaxed geometry, computed with meta-GGA SCAN.

Its symmetry is No. 47. The calculation puts the formation energy at -1.02 eV per formula unit.

Cell lengths 3.5038, 4.4065, 7.1840 Å; angles 90.00, 90.00, 90.00 degrees
Last column: nearest neighbours and their distance in Å.
Fractional positions:
Al1 0.5000 0.5000 0.0000  8 La 3.25, 2 Al 3.50, 2 Mg 3.59
La1 0.0000 0.0000 0.2261  3 La 3.25-3.50, 4 Al 3.25, 4 Mg 3.43
La2 0.0000 0.0000 0.7739  3 La 3.25-3.50, 4 Al 3.25, 4 Mg 3.43
Mg1 0.5000 0.5000 0.5000  8 La 3.43, 2 Mg 3.50, 2 Al 3.59

Entry 10:
YAg5 at its PBEsol-relaxed geometry, computed with meta-GGA SCAN.

Its symmetry is No. 123. The calculation puts the formation energy at -0.77 eV per formula unit.

Cell lengths 3.4582, 3.4582, 9.3519 Å; angles 90.00, 90.00, 90.00 degrees
Last column: nearest neighbours and their distance in Å.
Fractional positions:
Y1 0.5000 0.5000 0.5000  10 Ag 3.04-3.23
Ag1 0.0000 0.0000 0.3068  5 Ag 2.83-2.87, 4 Y 3.04
Ag2 0.5000 0.5000 0.1546  9 Ag 2.83-2.89
Ag3 0.0000 0.0000 0.0000  10 Ag 2.84-2.87
Ag4 0.5000 0.5000 0.8454  9 Ag 2.83-2.89
Ag5 0.0000 0.0000 0.6932  5 Ag 2.83-2.87, 4 Y 3.04

Entry 11:
CoNiPCl2 at its PBEsol-relaxed geometry, computed with meta-GGA SCAN.

The uncorrected formation energy comes out at 0.53 eV/atom. Its symmetry is No. 123.

Cell lengths 4.2049, 4.5325, 4.5325 Å; angles 90.00, 90.00, 90.00 degrees
Last column: nearest neighbours and their distance in Å.
Fractional positions:
Cl1 0.0000 0.5000 0.0000  2 Co 2.27
Ni1 0.5000 0.5000 0.5000  8 Cl 3.09, 4 P 3.20
Cl2 0.0000 0.0000 0.5000  2 Co 2.27
P1 0.5000 0.0000 0.0000  2 Co 2.10
Co1 0.0000 0.0000 0.0000  2 P 2.10, 4 Cl 2.27

Entry 12:
LiCdPt2 at its PBEsol-relaxed geometry, computed with meta-GGA SCAN.

Its symmetry is No. 8. The calculation puts the formation energy at -1.66 eV per formula unit.

Cell lengths 2.7828, 4.8618, 4.8354 Å; angles 97.83, 106.72, 90.00 degrees
Last column: nearest neighbours and their distance in Å.
Fractional positions:
Pt1 0.0070 0.9939 0.0140  3 Li 2.70-2.79, 5 Pt 2.73-2.86, 4 Cd 2.77-2.83
Li1 0.2569 0.7686 0.5138  7 Pt 2.70-2.91, 3 Cd 2.70-2.97, 2 Li 2.78
Pt2 0.7444 0.2408 0.4888  4 Li 2.70-2.91, 5 Pt 2.73-2.86, 3 Cd 2.80-2.81
Cd1 0.4917 0.4968 0.9834  3 Li 2.70-2.97, 7 Pt 2.77-2.83, 2 Cd 2.78

no.,E (eV per atom)
1,-6.268
2,-9.755
3,-28.156
4,-48.941
5,-8.975
6,-12.676
7,-32.015
8,-17.699
9,-24.989
10,-30.908
11,-11.440
12,-43.714